Entry from the Alexandria database: crystalline Ba3Au at its relaxed geometry (PBE).

Structure (POSCAR):
```
Ba3Au
1.0
4.3526 0.0000 0.0000
0.0000 4.3230 0.0000
0.0000 0.0000 11.2956
Ba Au
3 1
Direct
0.5000 0.0000 0.7711 Ba
0.5000 0.5000 0.1113 Ba
0.0000 0.5000 0.4604 Ba
0.0000 0.0000 0.9905 Au
```

## Properties
Formation energy in eV/atom: -0.255
DOS(E_F) in states/eV per atom: 1.4170